VASP calculation (PBE+U) on an optimized crystal structure of Ba2CoAg2Se2O2.

V, A^3/atom: 20.2
Total energy, eV/atom: -4.795
Crystal system: tetragonal

a b c (Å): 10.5066 10.5066 10.5066
angles (deg): 156.68 156.68 33.22
Closest atoms and distances in Å follow each position.
Fractional coordinates of all 9 atoms:
Ba 0.0883 0.0883 0.0000  4 O 2.77
Ba 0.9117 0.9117 0.0000  4 O 2.77
Co 0.5000 0.5000 0.0000  4 O 2.12
Ag 0.2500 0.7500 0.5000  4 Se 2.76, 4 Ag 3.00
Ag 0.7500 0.2500 0.5000  4 Se 2.76, 4 Ag 3.00
Se 0.3377 0.3377 0.0000  4 Ag 2.76
Se 0.6623 0.6623 0.0000  4 Ag 2.76
O 0.0000 0.5000 0.5000  2 Co 2.12
O 0.5000 0.0000 0.5000  2 Co 2.12